# RbGdHo

A geometry-optimized RbGdHo structure (PBE, OQMD).

Results
Its total energy is -25.77 eV per cell. As for the magnetization: 3.3 μB per cell.

abc: 8.422 8.422 8.422
angles: 90.00 90.00 90.00
Space group F-43m (No. 216)
Asymmetric unit:
Rb  0.000  0.000  0.000 [4 per cell]
Gd  0.250  0.250  0.750 [4 per cell]
Ho  0.000  0.000  0.500 [4 per cell]

# GdHoRe

A geometry-optimized GdHoRe structure (PBE, OQMD).

Results
Its total energy is -72.62 eV per cell. As for the magnetization: 0.3 μB per cell. The value obtained for the formation enthalpy at 0 K is 1.17 eV/atom.

abc: 6.751 6.751 6.751
angles: 90.00 90.00 90.00
Space group F-43m (No. 216)
Asymmetric unit:
Gd  0.000  0.000  0.000 [4 per cell]
Ho  0.250  0.250  0.750 [4 per cell]
Re  0.250  0.250  0.250 [4 per cell]

# GdHo2S3

A geometry-optimized GdHo2S3 structure (PBE, OQMD).

Results
Its total energy is -38.14 eV per cell. As for the magnetization: 0.0 μB per cell.

abc: 3.8998 3.8998 9.5738
angles: 90.00 90.00 120.00
Space group P-3m1 (No. 164)
Asymmetric unit:
Gd  0.0000  0.0000  0.0000 [1 per cell]
Ho  0.3333  0.6667  0.6661 [2 per cell]
S  0.0000  0.0000  0.5000 [1 per cell]
S  0.3333  0.6667  0.1717 [2 per cell]

# Gd2HoS3

A geometry-optimized Gd2HoS3 structure (PBE, OQMD).

Results
Its total energy is -38.32 eV per cell. As for the magnetization: 0.0 μB per cell.

abc: 3.9211 3.9211 9.6271
angles: 90.00 90.00 120.00
Space group P-3m1 (No. 164)
Asymmetric unit:
Gd  0.3333  0.6667  0.1675 [2 per cell]
Ho  0.0000  0.0000  0.5000 [1 per cell]
S  0.0000  0.0000  0.0000 [1 per cell]
S  0.3333  0.6667  0.6617 [2 per cell]

# GdHoSb

A geometry-optimized GdHoSb structure (PBE, OQMD).

Results
Its total energy is -59.90 eV per cell. As for the magnetization: 0.2 μB per cell.

abc: 7.178 7.178 7.178
angles: 90.00 90.00 90.00
Space group F-43m (No. 216)
Asymmetric unit:
Gd  0.000  0.000  0.000 [4 per cell]
Ho  0.000  0.000  0.500 [4 per cell]
Sb  0.250  0.250  0.250 [4 per cell]

# GdHoSb2

A geometry-optimized GdHoSb2 structure (PBE, OQMD).

Results
Its total energy is -22.02 eV per cell. As for the magnetization: 0.0 μB per cell.

abc: 4.390 4.390 6.209
angles: 90.00 90.00 90.00
Space group P4/mmm (No. 123)
Asymmetric unit:
Gd  0.000  0.000  0.000 [1 per cell]
Ho  0.500  0.500  0.500 [1 per cell]
Sb  0.000  0.000  0.500 [1 per cell]
Sb  0.500  0.500  0.000 [1 per cell]

# Gd2HoSb3

A geometry-optimized Gd2HoSb3 structure (PBE, OQMD).

Results
Its total energy is -33.13 eV per cell. As for the magnetization: 0.0 μB per cell.

abc: 4.3985 4.3985 10.7676
angles: 90.00 90.00 120.00
Space group P-3m1 (No. 164)
Asymmetric unit:
Gd  0.3333  0.6667  0.3320 [2 per cell]
Ho  0.0000  0.0000  0.0000 [1 per cell]
Sb  0.0000  0.0000  0.5000 [1 per cell]
Sb  0.3333  0.6667  0.8362 [2 per cell]

# GdHo2Se3

A geometry-optimized GdHo2Se3 structure (PBE, OQMD).

Results
Its total energy is -34.74 eV per cell. As for the magnetization: 0.0 μB per cell.

abc: 4.0614 4.0614 9.9831
angles: 90.00 90.00 120.00
Space group P-3m1 (No. 164)
Asymmetric unit:
Gd  0.0000  0.0000  0.0000 [1 per cell]
Ho  0.3333  0.6667  0.6659 [2 per cell]
Se  0.0000  0.0000  0.5000 [1 per cell]
Se  0.3333  0.6667  0.1717 [2 per cell]

# GdHo3Si4

A geometry-optimized GdHo3Si4 structure (PBE, OQMD).

Results
Its total energy is -46.71 eV per cell. As for the magnetization: 0.0 μB per cell.

abc: 5.692 3.832 7.901
angles: 90.00 90.11 90.00
Space group Pm (No. 6)
Asymmetric unit:
Gd  0.000  0.000  0.000 [1 per cell]
Ho  0.271  0.000  0.500 [1 per cell]
Ho  0.500  0.500  0.142 [1 per cell]
Ho  0.770  0.500  0.641 [1 per cell]
Si  0.016  0.500  0.285 [1 per cell]
Si  0.257  0.500  0.781 [1 per cell]
Si  0.515  0.000  0.858 [1 per cell]
Si  0.756  0.000  0.360 [1 per cell]

# SmGdHo

A geometry-optimized SmGdHo structure (PBE, OQMD).

Results
Its total energy is -47.25 eV per cell. The distance to the lowest polymorph of the same formula is 0 meV/atom. As for the magnetization: 0.0 μB per cell. The value obtained for the formation enthalpy at 0 K is 0.71 eV/atom.

abc: 7.698 7.698 7.698
angles: 90.00 90.00 90.00
Space group F-43m (No. 216)
Asymmetric unit:
Sm  0.000  0.000  0.000 [4 per cell]
Gd  0.000  0.000  0.500 [4 per cell]
Ho  0.250  0.250  0.750 [4 per cell]

# SmGdHo2Tl2

A geometry-optimized SmGdHo2Tl2 structure (PBE, OQMD).

Results
Its total energy is -24.80 eV per cell. As for the magnetization: 1.4 μB per cell.

abc: 5.4324 5.4324 6.7258
angles: 90.00 90.00 120.00
Space group P-6m2 (No. 187)
Asymmetric unit:
Sm  0.0000  0.0000  0.0000 [1 per cell]
Gd  0.6667  0.3333  0.5000 [1 per cell]
Ho  0.3333  0.6667  0.2524 [2 per cell]
Tl  0.0000  0.0000  0.5000 [1 per cell]
Tl  0.6667  0.3333  0.0000 [1 per cell]

# GdHoTc

A geometry-optimized GdHoTc structure (PBE, OQMD).

Results
Its total energy is -66.82 eV per cell. As for the magnetization: 0.1 μB per cell. The value obtained for the formation enthalpy at 0 K is 0.96 eV/atom.

abc: 6.740 6.740 6.740
angles: 90.00 90.00 90.00
Space group F-43m (No. 216)
Asymmetric unit:
Gd  0.000  0.000  0.000 [4 per cell]
Ho  0.250  0.250  0.750 [4 per cell]
Tc  0.250  0.250  0.250 [4 per cell]

# GdHoTe

A geometry-optimized GdHoTe structure (PBE, OQMD).

Results
Its total energy is -55.45 eV per cell. The distance to the lowest polymorph of the same formula is 0 meV/atom. As for the magnetization: 3.1 μB per cell.

abc: 7.155 7.155 7.155
angles: 90.00 90.00 90.00
Space group F-43m (No. 216)
Asymmetric unit:
Gd  0.000  0.000  0.000 [4 per cell]
Ho  0.000  0.000  0.500 [4 per cell]
Te  0.250  0.250  0.250 [4 per cell]

# GdHoTlTe3

A geometry-optimized GdHoTlTe3 structure (PBE, OQMD).

Results
Its total energy is -107.14 eV per cell. The distance to the lowest polymorph of the same formula is 13 meV/atom. As for the magnetization: 1.3 μB per cell.

abc: 4.409 15.288 12.035
angles: 90.00 90.00 90.00
Space group Cmcm (No. 63)
Asymmetric unit:
Gd  0.000  0.069  0.250 [4 per cell]
Ho  0.000  0.500  0.000 [4 per cell]
Tl  0.000  0.246  0.750 [4 per cell]
Te  0.000  0.143  0.023 [8 per cell]
Te  0.000  0.436  0.250 [4 per cell]

# GdHoTlTe3

A geometry-optimized GdHoTlTe3 structure (PBE, OQMD).

Results
Its total energy is -107.45 eV per cell. The distance to the lowest polymorph of the same formula is 0 meV/atom. As for the magnetization: 0.6 μB per cell.

abc: 4.443 15.351 12.048
angles: 90.00 90.00 90.00
Space group Cmcm (No. 63)
Asymmetric unit:
Gd  0.000  0.000  0.000 [4 per cell]
Ho  0.000  0.435  0.250 [4 per cell]
Tl  0.000  0.254  0.750 [4 per cell]
Te  0.000  0.064  0.250 [4 per cell]
Te  0.000  0.356  0.030 [8 per cell]

# GdHoTm

A geometry-optimized GdHoTm structure (PBE, OQMD).

Results
Its total energy is -46.24 eV per cell. The distance to the lowest polymorph of the same formula is 0 meV/atom. As for the magnetization: 0.0 μB per cell. The value obtained for the formation enthalpy at 0 K is 0.72 eV/atom.

abc: 7.608 7.608 7.608
angles: 90.00 90.00 90.00
Space group F-43m (No. 216)
Asymmetric unit:
Gd  0.000  0.000  0.000 [4 per cell]
Ho  0.000  0.000  0.500 [4 per cell]
Tm  0.250  0.250  0.250 [4 per cell]

# GdHo2Tm5

A geometry-optimized GdHo2Tm5 structure (PBE, OQMD).

Results
Its total energy is -72.31 eV per cell. As for the magnetization: 0.2 μB per cell. The value obtained for the formation enthalpy at 0 K is 0.00 eV/atom.

abc: 5.548 7.138 12.363
angles: 90.00 90.00 90.00
Space group Amm2 (No. 38)
Asymmetric unit:
Gd  0.000  0.000  0.000 [2 per cell]
Ho  0.000  0.000  0.500 [2 per cell]
Ho  0.500  0.000  0.833 [2 per cell]
Tm  0.000  0.250  0.250 [4 per cell]
Tm  0.500  0.000  0.333 [2 per cell]
Tm  0.500  0.250  0.083 [4 per cell]

# GdHo2Tm

A geometry-optimized GdHo2Tm structure (PBE, OQMD).

Results
Its total energy is -73.04 eV per cell. As for the magnetization: 0.5 μB per cell. The value obtained for the formation enthalpy at 0 K is 0.01 eV/atom.

abc: 5.602 12.427 7.175
angles: 90.00 90.00 90.00
Space group Ama2 (No. 40)
Asymmetric unit:
Gd  0.250  0.167  0.000 [4 per cell]
Ho  0.250  0.166  0.500 [4 per cell]
Ho  0.250  0.417  0.751 [4 per cell]
Tm  0.250  0.417  0.249 [4 per cell]

# GdHo2Tm

A geometry-optimized GdHo2Tm structure (PBE, OQMD).

Results
Its total energy is -73.04 eV per cell. As for the magnetization: 0.6 μB per cell. The value obtained for the formation enthalpy at 0 K is 0.01 eV/atom.

abc: 5.601 7.175 12.426
angles: 90.00 90.00 90.00
Space group Amm2 (No. 38)
Asymmetric unit:
Gd  0.000  0.000  0.000 [2 per cell]
Gd  0.500  0.000  0.333 [2 per cell]
Ho  0.000  0.000  0.501 [2 per cell]
Ho  0.500  0.000  0.832 [2 per cell]
Ho  0.500  0.249  0.584 [4 per cell]
Tm  0.000  0.249  0.749 [4 per cell]

# GdHo6Tm

A geometry-optimized GdHo6Tm structure (PBE, OQMD).

Results
Its total energy is -36.55 eV per cell. As for the magnetization: 0.2 μB per cell. The value obtained for the formation enthalpy at 0 K is 0.01 eV/atom.

abc: 7.1787 7.1787 5.5840
angles: 90.00 90.00 120.00
Space group P-6m2 (No. 187)
Asymmetric unit:
Gd  0.0000  0.0000  0.0000 [1 per cell]
Ho  0.0018  0.5009  0.0000 [3 per cell]
Ho  0.1675  0.3349  0.5000 [3 per cell]
Tm  0.6667  0.3333  0.5000 [1 per cell]